{
  "formula": "BaSmZn",
  "functional": "PBE-GGA",
  "state": "optimized geometry",
  "e_form_ev_per_atom": 0.029,
  "n_ef_per_ev_fu": 2.1,
  "magnetic_moment_mub_per_fu": 0.00,
  "dft_energy_ev_per_atom": -2.61,
  "sg": "C2/m, No. 12",
  "polymorph_energy_mev_per_atom": 121.5,
  "lattice": [[4.171, 0.000, 0.000], [-2.085, 3.600, -0.011], [0.000, -2.201, 15.122]],
  "species": ["Sm", "Sm", "Ba", "Ba", "Zn", "Zn"],
  "fractional_positions": [[0.195, 0.389, 0.088], [0.805, 0.611, 0.912], [0.281, 0.562, 0.366], [0.719, 0.438, 0.634], [0.101, 0.203, 0.790], [0.899, 0.797, 0.210]]
}